# 1
A plane-wave DFT calculation with PBE was carried out for ZnSb2Ir after structural relaxation.

Structure (extended XYZ):
```
4
Lattice="0.0000 3.4199 3.4199 3.4199 0.0000 3.4199 3.4199 3.4199 0.0000" Properties=species:S:1:pos:R:3 pbc="T T T"
Zn 0.0000 0.0000 0.0000
Sb 1.7100 1.7100 1.7100
Sb 3.4199 3.4199 3.4199
Ir 5.1299 5.1299 5.1299
```

Output
Raw formation energy, eV/atom: 0.422
Density of states at the Fermi level, states/eV per atom: 0.4281
Raw total energy, eV/atom: -4.172
ΔE to the lowest computed polymorph, eV per formula unit: 1.94



# 2
A plane-wave DFT calculation with PBE was carried out for PuGa4Co4 after structural relaxation.

Structure (extended XYZ):
```
18
Lattice="5.5107 0.0000 0.0000 0.0000 5.5107 0.0000 0.0000 0.0000 8.7211" Properties=species:S:1:pos:R:3 pbc="T T T"
Pu 1.3777 4.1330 2.1803
Pu 4.1330 1.3777 6.5408
Ga 0.1411 1.3777 0.4352
Ga 1.3777 0.1411 4.7958
Ga 1.3777 2.6142 4.7958
Ga 2.6142 1.3777 0.4352
Ga 2.8964 4.1330 8.2858
Ga 4.1330 2.8964 3.9253
Ga 4.1330 5.3695 3.9253
Ga 5.3695 4.1330 8.2858
Co 0.1813 1.3777 2.8995
Co 1.3777 0.1813 7.2601
Co 1.3777 2.5740 7.2601
Co 2.5740 1.3777 2.8995
Co 2.9366 4.1330 5.8215
Co 4.1330 2.9366 1.4610
Co 4.1330 5.3294 1.4610
Co 5.3294 4.1330 5.8215
```

Output
Density of states at the Fermi level, states/eV per atom: 2.0511
Raw total energy, eV/atom: -6.281
Energy of formation, eV per formula unit: -1.7



# 3
A plane-wave DFT calculation with PBE was carried out for Pm2Cd5Hg12 after structural relaxation.

Structure (extended XYZ):
```
19
Lattice="7.7136 -5.0951 0.0000 7.7136 5.0951 0.0000 -1.0860 0.0000 5.9875" Properties=species:S:1:pos:R:3 pbc="T T T"
Pm 7.7136 2.8595 0.0000
Pm 7.7136 -2.8595 0.0000
Cd -0.5430 0.0000 2.9938
Cd 2.5911 0.0000 2.5770
Cd 5.1934 0.0000 1.0503
Cd 9.1478 0.0000 4.9373
Cd 11.7501 0.0000 3.4106
Hg 3.6903 2.0467 4.8333
Hg 1.2020 0.0000 5.5739
Hg 5.6478 2.5163 2.5410
Hg 8.6935 2.5163 3.4466
Hg 6.1192 0.0000 4.3837
Hg 3.6903 -2.0467 4.8333
Hg 10.6509 2.0467 1.1543
Hg 8.2220 0.0000 1.6038
Hg 5.6478 -2.5163 2.5410
Hg 8.6935 -2.5163 3.4466
Hg 13.1392 0.0000 0.4136
Hg 10.6509 -2.0467 1.1543
```

Output
Density of states at the Fermi level, states/eV per atom: 0.4429
Raw total energy, eV/atom: -1.048
Energy of formation, eV per formula unit: -2.2
ΔE to the lowest computed polymorph, eV per formula unit: 0.11



# 4
A plane-wave DFT calculation with PBE was carried out for Zn4SiTe after structural relaxation.

Structure (extended XYZ):
```
6
Lattice="0.0000 3.7932 3.7932 3.7932 0.0000 3.7932 3.7932 3.7932 0.0000" Properties=species:S:1:pos:R:3 pbc="T T T"
Zn 0.9379 0.9379 0.9379
Zn 2.8553 2.8553 0.9379
Zn 2.8553 0.9379 2.8553
Zn 0.9379 2.8553 2.8553
Si 5.6898 5.6898 5.6898
Te 3.7932 3.7932 3.7932
```

Output
Raw formation energy, eV/atom: 0.346
Density of states at the Fermi level, states/eV per atom: 0.7511
Raw total energy, eV/atom: -1.931



# 5
A plane-wave DFT calculation with PBE was carried out for TmScRu after structural relaxation.

Structure (extended XYZ):
```
3
Lattice="0.0000 3.2542 3.2542 3.2542 0.0000 3.2542 3.2542 3.2542 0.0000" Properties=species:S:1:pos:R:3 pbc="T T T"
Tm 0.0000 0.0000 0.0000
Sc 3.2542 3.2542 3.2542
Ru 4.8813 4.8813 4.8813
```

Output
Density of states at the Fermi level, states/eV per atom: 0.2157
Raw total energy, eV/atom: -7.026
Energy of formation, eV per formula unit: -1.0
ΔE to the lowest computed polymorph, eV per formula unit: 0.39



# 6
A plane-wave DFT calculation with PBE was carried out for Zr2HgAu after structural relaxation.

Structure (extended XYZ):
```
4
Lattice="-2.1920 2.1920 4.2903 2.1920 -2.1920 4.2903 2.1920 2.1920 -4.2903" Properties=species:S:1:pos:R:3 pbc="T T T"
Zr 2.1920 0.0000 2.1451
Zr 0.0000 2.1920 2.1451
Hg 0.0000 0.0000 0.0000
Au 0.0000 0.0000 4.2903
```

Output
Density of states at the Fermi level, states/eV per atom: 0.9244
Raw total energy, eV/atom: -5.487
Energy of formation, eV per formula unit: -1.3



# 7
A plane-wave DFT calculation with PBE was carried out for GaHgH2 after structural relaxation.

Structure (extended XYZ):
```
8
Lattice="-2.9170 2.9170 4.1335 2.9170 -2.9170 4.1335 2.9170 2.9170 -4.1335" Properties=species:S:1:pos:R:3 pbc="T T T"
Ga 2.9170 1.4585 1.0334
Ga 0.0000 1.4585 3.1001
Hg 2.9170 -1.4585 3.1001
Hg 0.0000 4.3755 1.0334
H 2.9170 0.0000 0.0000
H -1.4585 1.4585 2.0667
H 0.0000 0.0000 4.1335
H 1.4585 1.4585 2.0667
```

Output
Density of states at the Fermi level, states/eV per atom: 0.0123
Raw total energy, eV/atom: -2.305
ΔE to the lowest computed polymorph, eV per formula unit: 0.00



# 8
A plane-wave DFT calculation with PBE was carried out for TiIn3Cl after structural relaxation.

Structure (extended XYZ):
```
5
Lattice="5.2890 0.0000 0.0000 0.0000 5.2890 0.0000 0.0000 0.0000 5.2890" Properties=species:S:1:pos:R:3 pbc="T T T"
Ti 0.0000 0.0000 0.0000
In 0.0000 2.6445 2.6445
In 2.6445 0.0000 2.6445
In 2.6445 2.6445 0.0000
Cl 2.6445 2.6445 2.6445
```

Output
Raw formation energy, eV/atom: 0.643
Density of states at the Fermi level, states/eV per atom: 0.8758
Raw total energy, eV/atom: -2.948
ΔE to the lowest computed polymorph, eV per formula unit: 1.84